Entry 1:
Compound: PaP2Pd
Source: the Alexandria database
Functional: PBE-GGA
Structure: optimized geometry

Structure (POSCAR):
```
PaP2Pd
1.0
4.0391 0.0000 0.0000
2.0196 3.4980 0.0000
2.0196 1.1660 5.2717
P Pa Pd
2 1 1
Direct
0.2424 0.2424 0.2729
0.7576 0.7576 0.7271
0.0000 0.0000 0.0000
0.5000 0.5000 0.5000
```

The value obtained for the formation energy from the elements is -765.2 meV per atom. The space group is R-3m.

=====

Entry 2:
Compound: FeTe4Br
Source: the Alexandria database
Functional: PBE-GGA
Structure: optimized geometry

Structure (POSCAR):
```
FeTe4Br
1.0
-5.0024 -3.7024 -0.9850
-4.2572 -0.8258 4.5712
-5.7406 2.5397 -0.5449
Fe Te Br
1 4 1
Direct
0.0000 0.0000 0.0000
0.8743 0.3752 0.3752
0.3752 0.3752 0.8743
0.3752 0.8743 0.3752
0.3752 0.3752 0.3752
0.7500 0.7500 0.7500
```

For the formation energy without anion corrections, the calculation gives 698 meV per atom. The space group is F-43m.

=====

Entry 3:
Compound: Sc2AlRh
Source: the Alexandria database
Functional: PBE-GGA
Structure: optimized geometry

Structure (POSCAR):
```
Sc2AlRh
1.0
-5.1728 1.4154 5.3595
-5.2089 -3.7484 -4.0376
-4.5012 -3.5080 1.9449
Sc Rh Al
4 2 2
Direct
0.6724 0.1250 0.2500
0.0776 0.6250 0.2500
0.3750 0.3276 0.7500
0.8750 0.9224 0.7500
0.0000 0.0000 0.0000
0.7500 0.2500 0.5000
0.5000 0.5000 0.0000
0.2500 0.7500 0.5000
```

The value obtained for the formation energy from the elements is -285.4 meV per atom. The space group is I-42d.

=====

Entry 4:
Compound: CeTiNiN3
Source: the Alexandria database
Functional: PBE-GGA
Structure: optimized geometry

Structure (POSCAR):
```
CeTiNiN3
1.0
-2.7464 1.1235 -1.0760
0.0463 -4.5232 -4.8410
-3.4935 -3.4101 5.3563
Ce Ti Ni N
2 2 2 6
Direct
0.2500 0.1795 0.2166
0.7500 0.8205 0.7834
0.2500 0.6563 0.1326
0.7500 0.3437 0.8674
0.2500 0.1287 0.6030
0.7500 0.8713 0.3970
0.7500 0.8685 0.1266
0.2500 0.1315 0.8734
0.2500 0.8142 0.5240
0.7500 0.1858 0.4760
0.7500 0.4358 0.1441
0.2500 0.5642 0.8559
```

For the formation energy without anion corrections, the calculation gives -999 meV per atom. The space group is P2_1/m.

=====

It is found that the calculated total energy values, taken in the order of the records, are -7.142; -3.086; -6.225; -8.430 eV per atom.